# 1
An optimized crystal structure of Al8GeIr2. Source: the Alexandria database, functional GGA-PBE.

Summary:
**M_tot**: 0.00 μB per atom
**Fermi-level density of states**: 3.57 states/eV/cell
**E**: -5.029 eV per atom
**Symmetry**: C2/m, No. 12
**Formation energy**: -3.04 eV per formula unit

Unit cell a=5.0143 b=6.5759 c=6.5759 alpha=67.21 beta=99.59 gamma=99.59
Fractional coordinates of all 11 atoms:
Al (0.4030, 0.4105, 0.8147)
Al (0.5970, 0.1853, 0.5895)
Al (0.2123, 0.8063, 0.8063)
Al (0.7877, 0.1937, 0.1937)
Al (0.4030, 0.8147, 0.4105)
Al (0.5970, 0.5895, 0.1853)
Al (0.8549, 0.5864, 0.5864)
Al (0.1451, 0.4136, 0.4136)
Ge (0.0000, 0.0000, 0.0000)
Ir (0.6969, 0.7891, 0.7891)
Ir (0.3031, 0.2109, 0.2109)

***

# 2
An optimized crystal structure of NiPb2Au. Source: the Alexandria database, functional GGA-PBE.

Summary:
**M_tot**: 0.00 μB per atom
**Fermi-level density of states**: 1.86 states/eV/cell
**E**: -3.950 eV per atom
**Symmetry**: C2/m, No. 12
**Formation energy**: 0.67 eV per formula unit

Unit cell a=3.7769 b=3.7769 c=7.8274 alpha=75.72 beta=75.72 gamma=58.97
Fractional coordinates of all 4 atoms:
Au (0.7500, 0.7500, 0.7500)
Ni (0.2500, 0.2500, 0.2500)
Pb (0.9926, 0.9926, 0.0290)
Pb (0.5074, 0.5074, 0.4710)

***

# 3
An optimized crystal structure of TlPb. Source: the Alexandria database, functional GGA-PBE.

Summary:
**M_tot**: 0.00 μB per atom
**Fermi-level density of states**: 2.93 states/eV/cell
**E**: -2.957 eV per atom
**Symmetry**: P6_3/mmc, No. 194
**Formation energy**: 0.16 eV per formula unit

Unit cell a=5.5316 b=5.5316 c=10.0420 alpha=90.00 beta=90.00 gamma=120.00
Fractional coordinates of all 8 atoms:
Tl (0.0000, 0.0000, 0.2500)
Tl (0.0000, 0.0000, 0.7500)
Tl (0.3333, 0.6667, 0.7500)
Tl (0.6667, 0.3333, 0.2500)
Pb (0.3333, 0.6667, 0.0718)
Pb (0.6667, 0.3333, 0.5718)
Pb (0.6667, 0.3333, 0.9282)
Pb (0.3333, 0.6667, 0.4282)

***

# 4
An optimized crystal structure of Ca2Pb2Cl. Source: the Alexandria database, functional GGA-PBE.

Summary:
**M_tot**: 0.00 μB per atom
**Fermi-level density of states**: 7.67 states/eV/cell
**E**: -3.456 eV per atom
**Formation energy from raw total energies**: -803 meV per atom
**Symmetry**: P4/mbm, No. 127

Unit cell a=7.7144 b=7.7144 c=5.1528 alpha=90.00 beta=90.00 gamma=90.00
Fractional coordinates of all 10 atoms:
Pb (0.1385, 0.6385, 0.5000)
Pb (0.6385, 0.8615, 0.5000)
Pb (0.8615, 0.3615, 0.5000)
Pb (0.3615, 0.1385, 0.5000)
Ca (0.3306, 0.8306, 0.0000)
Ca (0.8306, 0.6694, 0.0000)
Ca (0.6694, 0.1694, 0.0000)
Ca (0.1694, 0.3306, 0.0000)
Cl (0.0000, 0.0000, 0.0000)
Cl (0.5000, 0.5000, 0.0000)

***

# 5
An optimized crystal structure of Ce6CuRu. Source: the Alexandria database, functional GGA-PBE.

Summary:
**M_tot**: 0.00 μB per atom
**Fermi-level density of states**: 14.43 states/eV/cell
**E**: -6.213 eV per atom
**Symmetry**: I4/mmm, No. 139
**Formation energy**: -0.73 eV per formula unit

Unit cell a=4.8966 b=4.8967 c=8.6666 alpha=73.57 beta=73.57 gamma=90.00
Fractional coordinates of all 8 atoms:
Ce (0.7448, 0.7448, 0.5103)
Ce (0.6078, 0.1078, 0.7845)
Ce (0.1077, 0.6078, 0.7845)
Ce (0.3922, 0.8922, 0.2155)
Ce (0.2552, 0.2552, 0.4897)
Ce (0.8923, 0.3922, 0.2155)
Cu (0.0000, 0.0000, 0.0000)
Ru (0.5000, 0.5000, 0.0000)

***

# 6
An optimized crystal structure of Er2ZnGa3Ir4. Source: the Alexandria database, functional GGA-PBE.

Summary:
**M_tot**: 0.00 μB per atom
**Fermi-level density of states**: 4.46 states/eV/cell
**E**: -6.141 eV per atom
**Symmetry**: P-4m2, No. 115
**Formation energy**: -6.48 eV per formula unit

Unit cell a=4.1401 b=4.1401 c=10.5354 alpha=90.00 beta=90.00 gamma=90.00
Fractional coordinates of all 10 atoms:
Er (0.5000, 0.0000, 0.2393)
Er (0.0000, 0.5000, 0.7607)
Zn (0.5000, 0.5000, 0.5000)
Ga (0.0000, 0.0000, 0.5000)
Ga (0.5000, 0.0000, 0.8704)
Ga (0.0000, 0.5000, 0.1296)
Ir (0.5000, 0.5000, 0.0000)
Ir (0.0000, 0.0000, 0.0000)
Ir (0.5000, 0.0000, 0.6399)
Ir (0.0000, 0.5000, 0.3601)

***

# 7
An optimized crystal structure of Ta2CoHg. Source: the Alexandria database, functional GGA-PBE.

Summary:
**M_tot**: 0.00 μB per atom
**Fermi-level density of states**: 3.81 states/eV/cell
**E**: -7.623 eV per atom
**Symmetry**: P4mm, No. 99
**Formation energy**: 0.62 eV per formula unit

Unit cell a=2.9306 b=2.9306 c=7.9065 alpha=90.00 beta=90.00 gamma=90.05
Fractional coordinates of all 4 atoms:
Co (0.0000, 0.0000, 0.4775)
Hg (0.5000, 0.5000, 0.7228)
Ta (0.0000, 0.0000, 0.0092)
Ta (0.5000, 0.5000, 0.2904)

***

# 8
An optimized crystal structure of Sr2Y. Source: the Alexandria database, functional GGA-PBE.

Summary:
**M_tot**: 0.30 μB per atom
**Fermi-level density of states**: 5.30 states/eV/cell
**E**: -3.051 eV per atom
**Symmetry**: Immm, No. 71
**Formation energy**: 0.68 eV per formula unit

Unit cell a=6.9677 b=6.9677 c=6.9677 alpha=147.32 beta=132.43 gamma=58.91
Each line ends with the local moment (μB).
Fractional coordinates of all 3 atoms:
Sr (0.6606, 0.6606, 0.0000)  0.04
Sr (0.3394, 0.3394, 0.0000)  0.04
Y (0.0000, 0.0000, 0.0000)  0.26

***

# 9
An optimized crystal structure of Dy2Sn3Pd8. Source: the Alexandria database, functional GGA-PBE.

Summary:
**M_tot**: 0.00 μB per atom
**Fermi-level density of states**: 5.46 states/eV/cell
**E**: -5.298 eV per atom
**Symmetry**: C2/m, No. 12
**Formation energy**: -6.11 eV per formula unit

Unit cell a=5.8789 b=7.5040 c=7.5597 alpha=119.76 beta=106.29 gamma=90.00
Fractional coordinates of all 13 atoms:
Dy (0.2882, 0.3236, 0.6473)
Dy (0.7118, 0.6764, 0.3527)
Sn (0.5000, 0.0000, 0.0000)
Sn (0.0000, 0.2977, 0.0000)
Sn (0.0000, 0.7023, 0.0000)
Pd (0.1994, 0.6924, 0.3848)
Pd (0.8006, 0.3076, 0.6152)
Pd (0.9545, 0.1167, 0.2335)
Pd (0.0455, 0.8833, 0.7665)
Pd (0.5904, 0.6641, 0.7045)
Pd (0.5904, 0.0404, 0.7045)
Pd (0.4096, 0.9596, 0.2955)
Pd (0.4096, 0.3359, 0.2955)

***

# 10
An optimized crystal structure of Ca5Zn2Pb5. Source: the Alexandria database, functional GGA-PBE.

Summary:
**M_tot**: 0.00 μB per atom
**Fermi-level density of states**: 4.74 states/eV/cell
**E**: -3.005 eV per atom
**Symmetry**: C2/m, No. 12
**Formation energy**: -4.96 eV per formula unit

Unit cell a=4.8153 b=8.7761 c=9.0607 alpha=73.09 beta=74.59 gamma=74.08
Fractional coordinates of all 12 atoms:
Ca (0.5000, 0.5000, 0.5000)
Ca (0.3748, 0.3200, 0.9303)
Ca (0.3341, 0.9969, 0.3349)
Ca (0.6659, 0.0031, 0.6651)
Ca (0.6252, 0.6800, 0.0697)
Zn (0.8514, 0.5749, 0.7224)
Zn (0.1486, 0.4251, 0.2776)
Pb (0.9595, 0.7383, 0.3427)
Pb (0.2472, 0.7358, 0.7697)
Pb (0.7528, 0.2642, 0.2303)
Pb (0.0405, 0.2617, 0.6573)
Pb (0.0000, 0.0000, 0.0000)

***

# 11
An optimized crystal structure of Ho6Er12In. Source: the Alexandria database, functional GGA-PBE.

Summary:
**M_tot**: 0.00 μB per atom
**Fermi-level density of states**: 26.85 states/eV/cell
**E**: -4.395 eV per atom
**Symmetry**: R-3, No. 148
**Formation energy**: 1.46 eV per formula unit

Unit cell a=8.3735 b=8.3735 c=8.3735 alpha=88.75 beta=88.75 gamma=88.75
Fractional coordinates of all 19 atoms:
Ho (0.7416, 0.9049, 0.2970)
Ho (0.7030, 0.2584, 0.0951)
Ho (0.0951, 0.7030, 0.2584)
Ho (0.2584, 0.0951, 0.7030)
Ho (0.2970, 0.7416, 0.9049)
Ho (0.9049, 0.2970, 0.7416)
Er (0.7793, 0.5395, 0.4343)
Er (0.4343, 0.7793, 0.5395)
Er (0.5395, 0.4343, 0.7793)
Er (0.2207, 0.4605, 0.5657)
Er (0.5657, 0.2207, 0.4605)
Er (0.4605, 0.5657, 0.2207)
Er (0.0120, 0.1855, 0.3619)
Er (0.8145, 0.6381, 0.9880)
Er (0.6381, 0.9880, 0.8145)
Er (0.9880, 0.8145, 0.6381)
Er (0.1855, 0.3619, 0.0120)
Er (0.3619, 0.0120, 0.1855)
In (0.0000, 0.0000, 0.0000)

***

# 12
An optimized crystal structure of BaLiMg14. Source: the Alexandria database, functional GGA-PBE.

Summary:
**M_tot**: 0.00 μB per atom
**Fermi-level density of states**: 7.41 states/eV/cell
**E**: -1.575 eV per atom
**Symmetry**: P-6m2, No. 187
**Formation energy**: 0.96 eV per formula unit

Unit cell a=6.6190 b=6.6190 c=10.6209 alpha=90.00 beta=90.00 gamma=120.00
Fractional coordinates of all 16 atoms:
Ba (0.0000, 0.0000, 0.5000)
Li (0.0000, 0.0000, 0.0000)
Mg (0.9950, 0.4975, 0.0000)
Mg (0.0156, 0.5078, 0.5000)
Mg (0.5025, 0.0050, 0.0000)
Mg (0.4922, 0.9844, 0.5000)
Mg (0.5025, 0.4975, 0.0000)
Mg (0.4922, 0.5078, 0.5000)
Mg (0.1704, 0.8296, 0.2345)
Mg (0.1704, 0.8296, 0.7655)
Mg (0.1704, 0.3408, 0.2345)
Mg (0.1704, 0.3408, 0.7655)
Mg (0.6592, 0.8296, 0.2345)
Mg (0.6592, 0.8296, 0.7655)
Mg (0.6667, 0.3333, 0.2605)
Mg (0.6667, 0.3333, 0.7395)